A geometry-optimized LiCr4Fe structure, computed with GGA-PBE.

abc: 4.690 4.690 4.690
angles: 60.00 60.00 60.00
Element x y z (fractional)
Li1 0.000 0.000 0.000
Cr1 0.121 0.626 0.626
Cr2 0.626 0.121 0.626
Cr3 0.626 0.626 0.121
Cr4 0.626 0.626 0.626
Fe1 0.250 0.250 0.250

Space group: F-43m, No. 216
DFT formation energy (eV/f.u.): 2.411